# 1
VFe2Pd8 after structural relaxation, computed with PBE.

Summary:
E_form = -0.1413 eV/atom
N(E_F) = 9.007 states/eV per cell
Space group = C2/m, No. 12
ΔE to the lowest computed polymorph = 0.00 eV per formula unit
Total moment = 0.54 μB/atom

extended XYZ file:
```
11
Lattice="6.9503 -1.9698 0.0000 6.9503 1.9698 0.0000 -1.7462 0.0000 5.9039" Properties=species:S:1:pos:R:3 pbc="T T T"
V 0.0000 0.0000 0.0000
Fe 3.2220 0.0000 2.1086
Fe 8.9323 0.0000 3.7953
Pd 0.5747 0.0000 2.6721
Pd 0.9058 0.0000 5.4042
Pd 3.5825 0.0000 4.7638
Pd 5.8686 0.0000 1.5733
Pd 6.2857 0.0000 4.3305
Pd 8.5718 0.0000 1.1401
Pd 11.2486 0.0000 0.4996
Pd 11.5797 0.0000 3.2318
```

# 2
VFePd6 after structural relaxation, computed with PBE.

Summary:
E_form = 0.0856 eV/atom
N(E_F) = 11.187 states/eV per cell
Space group = C2/m, No. 12
ΔE to the lowest computed polymorph = 2.11 eV per formula unit
Total moment = 0.38 μB/atom

extended XYZ file:
```
16
Lattice="7.4102 0.0000 0.0000 0.0000 5.3072 0.0000 -2.5230 0.0000 6.7316" Properties=species:S:1:pos:R:3 pbc="T T T"
V 0.0000 0.0000 0.0000
V 3.7051 2.6536 0.0000
Fe -1.2615 2.6536 3.3658
Fe 2.4436 0.0000 3.3658
Pd -1.2459 2.6536 6.3271
Pd 0.6189 1.3444 2.0276
Pd 0.6189 3.9628 2.0276
Pd 0.5632 1.3092 4.7041
Pd 0.5632 3.9980 4.7041
Pd 2.4280 0.0000 0.4046
Pd 2.4592 0.0000 6.3271
Pd 4.3240 1.3092 2.0276
Pd 4.3240 3.9980 2.0276
Pd 4.2683 1.3444 4.7041
Pd 4.2683 3.9628 4.7041
Pd 6.1331 2.6536 0.4046
```

# 3
V3FePd12 after structural relaxation, computed with PBE.

Summary:
E_form = -0.1993 eV/atom
N(E_F) = 17.843 states/eV per cell
Space group = P4/mmm, No. 123
Total moment = 0.49 μB/atom

extended XYZ file:
```
16
Lattice="3.8949 0.0000 0.0000 0.0000 3.8949 0.0000 0.0000 0.0000 15.6130" Properties=species:S:1:pos:R:3 pbc="T T T"
V 0.0000 0.0000 0.0000
V 0.0000 0.0000 3.9427
V 0.0000 0.0000 11.6703
Fe 0.0000 0.0000 7.8065
Pd 0.0000 1.9474 1.9479
Pd 0.0000 1.9474 5.8399
Pd 0.0000 1.9474 9.7732
Pd 0.0000 1.9474 13.6651
Pd 1.9474 0.0000 1.9479
Pd 1.9474 0.0000 5.8399
Pd 1.9474 0.0000 9.7732
Pd 1.9474 0.0000 13.6651
Pd 1.9474 1.9474 0.0000
Pd 1.9474 1.9474 3.8915
Pd 1.9474 1.9474 7.8065
Pd 1.9474 1.9474 11.7216
```

no.,VASP energy (eV per formula unit)
1,-69.14
2,-48.05
3,-101.32